# ZrSiSb2, single point on PBEsol structure, DFT SCAN
# total DFT energy (no corrections)	-29.218	eV/atom
# total magnetic moment	0.000	Bohr magnetons per cell
# uncorrected formation energy	-409	meV per atom
data_ZrSiSb2
_chemical_formula_sum 'Zr1 Si1 Sb2'
_cell_length_a 4.091
_cell_length_b 3.949
_cell_length_c 5.737
_cell_angle_alpha 90.00
_cell_angle_beta 110.65
_cell_angle_gamma 90.00
_space_group_name_H-M_alt 'P 1 m 1'
_space_group_IT_number 6
loop_
_space_group_symop_operation_xyz
'x,y,z'
'x,-y,z'
loop_
_atom_site_label
_atom_site_type_symbol
_atom_site_fract_x
_atom_site_fract_y
_atom_site_fract_z
Zr1 Zr 0.000 0.000 0.000
Si1 Si 0.899 0.500 0.648
Sb1 Sb 0.310 0.000 0.577
Sb2 Sb 0.582 0.500 0.168

---

# ZrSiSb2, single point on PBEsol structure, DFT SCAN
# total DFT energy (no corrections)	-28.904	eV/atom
# total magnetic moment	0.000	Bohr magnetons per cell
# uncorrected formation energy	-95	meV per atom
data_ZrSiSb2
_chemical_formula_sum 'Zr1 Si1 Sb2'
_cell_length_a 3.817
_cell_length_b 3.817
_cell_length_c 5.866
_cell_angle_alpha 90.00
_cell_angle_beta 90.00
_cell_angle_gamma 90.00
_space_group_name_H-M_alt 'P 4/m m m'
_space_group_IT_number 123
_space_group_name_Hall '-P 4 2'
loop_
_atom_site_label
_atom_site_type_symbol
_atom_site_fract_x
_atom_site_fract_y
_atom_site_fract_z
Zr1 Zr 0.000 0.000 0.000
Si1 Si 0.000 0.000 0.500
Sb1 Sb 0.500 0.500 0.251